Entry 1:
Below is a geometry-optimized TlFe2Br2 structure, with properties calculated at the PBE level. Values from VASP.

Structure (Quantum ESPRESSO input):
```
&SYSTEM
  ibrav = 0, nat = 5, ntyp = 3
/
ATOMIC_SPECIES
Br 79.90 Br.upf
Fe 55.84 Fe.upf
Tl 204.38 Tl.upf
ATOMIC_POSITIONS crystal
Br 0.655 0.655 0.000
Fe 0.250 0.750 0.500
Tl 0.000 0.000 0.000
Fe 0.750 0.250 0.500
Br 0.345 0.345 0.000
CELL_PARAMETERS angstrom
-5.172 -5.630 6.681
-8.711 -2.925 4.318
6.700 2.454 -7.224
```

Calculated values
The formation energy from raw total energies comes out at 6 kJ per mole of atoms. The value obtained for the volume is 25.007 Å³/atom. For the size of the total moment, the calculation gives 5.865 μB per cell.

=====

Entry 2:
Below is a geometry-optimized Pm3B4C4 structure, with properties calculated at the PBE level. Values from VASP.

Structure (Quantum ESPRESSO input):
```
&SYSTEM
  ibrav = 0, nat = 11, ntyp = 3
/
ATOMIC_SPECIES
B 10.81 B.upf
C 12.01 C.upf
Pm 145.00 Pm.upf
ATOMIC_POSITIONS crystal
B 0.399 0.572 0.799
C 0.500 0.148 0.000
B 0.601 0.773 0.201
Pm 0.803 0.803 0.606
Pm 0.197 0.197 0.394
B 0.399 0.227 0.799
Pm 0.000 0.500 0.000
C 0.826 0.326 0.652
B 0.601 0.428 0.201
C 0.174 0.674 0.348
C 0.500 0.852 0.000
CELL_PARAMETERS angstrom
-0.496 3.166 -2.274
-5.081 -0.733 0.088
2.316 2.731 6.691
```

Calculated values
Its formation energy is 0.41 eV per atom. The value obtained for the volume is 12.592 Å³/atom. For the size of the total moment, the calculation gives 0.000 μB per cell.

=====

Entry 3:
Below is a geometry-optimized Ga2Te5Pd12 structure, with properties calculated at the PBE level. Values from VASP.

Structure (Quantum ESPRESSO input):
```
&SYSTEM
  ibrav = 0, nat = 19, ntyp = 3
/
ATOMIC_SPECIES
Pd 106.42 Pd.upf
Te 127.60 Te.upf
Ga 69.72 Ga.upf
ATOMIC_POSITIONS crystal
Pd 0.140 0.653 0.859
Te 0.346 0.692 0.566
Pd 0.973 0.947 0.825
Pd 0.529 0.057 0.761
Ga 0.733 0.000 0.000
Ga 0.267 0.000 0.000
Pd 0.351 0.310 0.630
Te 0.734 0.468 0.855
Te 0.000 0.000 0.500
Te 0.266 0.532 0.145
Pd 0.649 0.690 0.370
Pd 0.488 0.347 0.141
Pd 0.860 0.347 0.141
Pd 0.512 0.653 0.859
Pd 0.027 0.053 0.175
Pd 0.041 0.690 0.370
Pd 0.471 0.943 0.239
Te 0.654 0.308 0.434
Pd 0.959 0.310 0.630
CELL_PARAMETERS angstrom
-2.982 -6.873 0.824
5.283 1.293 -4.565
6.210 -2.104 4.923
```

Calculated values
The formation energy from raw total energies comes out at -30 kJ per mole of atoms. The value obtained for the volume is 19.345 Å³/atom. For the size of the total moment, the calculation gives 0.000 μB per cell.

=====

Entry 4:
Below is a geometry-optimized Zn6AgAu structure, with properties calculated at the PBE level. Values from VASP.

Structure (Quantum ESPRESSO input):
```
&SYSTEM
  ibrav = 0, nat = 8, ntyp = 3
/
ATOMIC_SPECIES
Ag 107.87 Ag.upf
Zn 65.41 Zn.upf
Au 196.97 Au.upf
ATOMIC_POSITIONS crystal
Ag 0.500 0.500 0.500
Zn 0.749 0.971 0.752
Au 0.000 0.000 0.000
Zn 0.251 0.029 0.248
Zn 0.470 0.249 0.313
Zn 0.962 0.467 0.821
Zn 0.530 0.751 0.687
Zn 0.038 0.533 0.179
CELL_PARAMETERS angstrom
-5.248 1.902 -3.898
-6.738 1.209 2.812
-3.213 3.819 0.356
```

Calculated values
The calculation puts the energy above the lowest structure with this stoichiometry at 0.032 eV/atom. Its formation energy is -0.06 eV per atom. The value obtained for the volume is 15.832 Å³/atom. For the size of the total moment, the calculation gives 0.000 μB per cell.

=====

Entry 5:
Below is a geometry-optimized Tb6Ga2C structure, with properties calculated at the PBE level. Values from VASP.

Structure (Quantum ESPRESSO input):
```
&SYSTEM
  ibrav = 0, nat = 18, ntyp = 3
/
ATOMIC_SPECIES
Ga 69.72 Ga.upf
Tb 158.93 Tb.upf
C 12.01 C.upf
ATOMIC_POSITIONS crystal
Ga 0.000 0.000 0.638
Tb 0.305 0.305 0.344
C 0.000 0.000 0.000
Tb 0.805 0.195 0.844
Ga 0.500 0.500 0.138
Tb 0.748 0.252 0.500
Tb 0.252 0.748 0.500
Tb 0.695 0.695 0.656
Tb 0.695 0.695 0.344
Tb 0.195 0.805 0.156
Tb 0.752 0.752 0.000
Tb 0.195 0.805 0.844
Tb 0.305 0.305 0.656
Tb 0.805 0.195 0.156
Tb 0.248 0.248 0.000
C 0.500 0.500 0.500
Ga 0.000 0.000 0.362
Ga 0.500 0.500 0.862
CELL_PARAMETERS angstrom
6.814 0.000 0.000
0.000 6.814 0.000
0.000 0.000 10.916
```

Calculated values
Its formation energy is -0.13 eV per atom. The value obtained for the volume is 28.155 Å³/atom. For the size of the total moment, the calculation gives 0.000 μB per cell.

=====

Entry 6:
Below is a geometry-optimized Tb2AuS structure, with properties calculated at the PBE level. Values from VASP.

Structure (Quantum ESPRESSO input):
```
&SYSTEM
  ibrav = 0, nat = 4, ntyp = 3
/
ATOMIC_SPECIES
Au 196.97 Au.upf
Tb 158.93 Tb.upf
S 32.06 S.upf
ATOMIC_POSITIONS crystal
Au 0.500 0.500 0.500
Tb 0.256 0.256 0.233
S 0.000 0.000 0.000
Tb 0.744 0.744 0.767
CELL_PARAMETERS angstrom
-0.915 2.425 2.950
-0.492 -1.420 3.628
6.510 1.340 3.533
```

Calculated values
The calculation puts the energy above the lowest structure with this stoichiometry at 0.060 eV/atom. The formation energy from raw total energies comes out at -131 kJ per mole of atoms. The value obtained for the volume is 23.968 Å³/atom. For the size of the total moment, the calculation gives 0.000 μB per cell.

=====

Entry 7:
Below is a geometry-optimized Cs2NaPa3S8 structure, with properties calculated at the PBE level. Values from VASP.

Structure (Quantum ESPRESSO input):
```
&SYSTEM
  ibrav = 0, nat = 14, ntyp = 4
/
ATOMIC_SPECIES
S 32.06 S.upf
Pa 231.04 Pa.upf
Cs 132.91 Cs.upf
Na 22.99 Na.upf
ATOMIC_POSITIONS crystal
S 0.223 0.689 0.865
S 0.297 0.752 0.200
Pa 0.987 0.491 0.030
S 0.223 0.223 0.865
Cs 0.136 0.136 0.591
Pa 0.491 0.491 0.030
Cs 0.490 0.490 0.531
S 0.269 0.269 0.193
S 0.689 0.223 0.865
S 0.752 0.297 0.200
Pa 0.491 0.987 0.030
Na 0.980 0.980 0.060
S 0.712 0.712 0.863
S 0.752 0.752 0.200
CELL_PARAMETERS angstrom
8.186 0.000 0.000
4.093 7.089 0.000
4.093 2.363 8.554
```

Calculated values
The formation energy from raw total energies comes out at -150 kJ per mole of atoms. The value obtained for the volume is 35.458 Å³/atom. For the size of the total moment, the calculation gives 2.037 μB per cell.

=====

Entry 8:
Below is a geometry-optimized CuTc2 structure, with properties calculated at the PBE level. Values from VASP.

Structure (Quantum ESPRESSO input):
```
&SYSTEM
  ibrav = 0, nat = 12, ntyp = 2
/
ATOMIC_SPECIES
Tc 98.00 Tc.upf
Cu 63.55 Cu.upf
ATOMIC_POSITIONS crystal
Tc 0.162 0.343 0.250
Cu 0.000 0.846 0.250
Tc 0.838 0.657 0.750
Tc 0.338 0.157 0.750
Tc 0.838 0.343 0.250
Cu 0.000 0.154 0.750
Tc 0.662 0.843 0.250
Tc 0.162 0.657 0.750
Tc 0.338 0.843 0.250
Tc 0.662 0.157 0.750
Cu 0.500 0.654 0.750
Cu 0.500 0.346 0.250
CELL_PARAMETERS angstrom
8.033 0.000 0.000
0.000 4.676 0.000
0.000 0.000 4.384
```

Calculated values
The calculation puts the energy above the lowest structure with this stoichiometry at 0.000 eV/atom. Its formation energy is 0.09 eV per atom. The value obtained for the volume is 13.722 Å³/atom. For the size of the total moment, the calculation gives 0.000 μB per cell.